The following is a PBE calculation of a relaxed NaCd2SiTe4 crystal, from Alexandria via LeMat-Bulk.

As for the formation energy (no corrections): -2.42 eV/f.u. As for the crystal system: orthorhombic. As for the density of states at the Fermi level: 0.595 states/eV/atom.

```
data_NaCd2SiTe4
_chemical_formula_sum 'Na4 Cd8 Si4 Te16'
_cell_length_a 9.579
_cell_length_b 9.582
_cell_length_c 12.759
_cell_angle_alpha 90.00
_cell_angle_beta 90.00
_cell_angle_gamma 90.00
_space_group_name_H-M_alt 'F m m 2'
_space_group_IT_number 42
_space_group_name_Hall 'F 2 -2'
loop_
_atom_site_label
_atom_site_type_symbol
_atom_site_fract_x
_atom_site_fract_y
_atom_site_fract_z
Na1 Na 0.000 0.000 0.000
Cd1 Cd 0.250 0.250 0.250
Si1 Si 0.000 0.000 0.500
Te1 Te 0.000 0.224 0.623
Te2 Te 0.225 0.000 0.376
```